(1)
Material: RbPmCu2F8
Method: DFT, PBE
State: relaxed

Crystal system ... tetragonal
Volume ... 368.0 Å³ per cell
Total magnetic moment ... 4.00 μB/cell
Raw total energy ... -4.953 eV per atom
Raw formation energy ... -2547 meV per atom

Cell lengths 5.8405, 5.8405, 10.7881 Å; angles 90.00, 90.00, 90.00 degrees
Space group I-4 (No. 82)
Unique sites:
Rb 0.0000 0.0000 0.0000 [2 per cell]
Pm 0.0000 0.5000 0.2500 [2 per cell]
Cu 0.0000 0.0000 0.5000 [2 per cell]
Cu 0.0000 0.5000 0.7500 [2 per cell]
F 0.0833 0.2961 0.4385 [8 per cell]
F 0.1821 0.7631 0.7885 [8 per cell]

---

(2)
Material: Rb2PmCu3F12
Method: DFT, PBE
State: relaxed

Crystal system ... trigonal
Volume ... 828.7 Å³ per cell
Total magnetic moment ... 11.98 μB/cell
Raw total energy ... -4.675 eV per atom
Raw formation energy ... -2374 meV per atom

Cell lengths 7.6395, 7.6395, 16.3957 Å; angles 90.00, 90.00, 120.00 degrees
Space group R-3m (No. 166, hexagonal axes)
Unique sites:
Rb 0.0000 0.0000 0.1105 [6 per cell]
Pm 0.0000 0.0000 0.5000 [3 per cell]
Cu 0.0000 0.5000 0.0000 [9 per cell]
F 0.0063 0.5032 0.8818 [18 per cell]
F 0.0873 0.5437 0.3162 [18 per cell]

---

(3)
Material: Rb2PmCuF6
Method: DFT, PBE
State: relaxed

Crystal system ... triclinic
Volume ... 205.5 Å³ per cell
Total magnetic moment ... 0.08 μB/cell
Raw total energy ... -5.097 eV per atom
Raw formation energy ... -2896 meV per atom

Cell lengths 6.1592, 6.5689, 6.5861 Å; angles 114.36, 99.71, 112.97 degrees
Space group P-1 (No. 2)
Unique sites:
Rb 0.2329 0.4475 0.2204 [2 per cell]
Pm 0.0000 0.0000 0.5000 [1 per cell]
Cu 0.5000 0.0000 0.0000 [1 per cell]
F 0.1502 0.4210 0.7708 [2 per cell]
F 0.2290 0.9921 0.8113 [2 per cell]
F 0.3231 0.1303 0.3816 [2 per cell]

---

(4)
Material: RbPmCuF6
Method: DFT, PBE
State: relaxed

Crystal system ... orthorhombic
Volume ... 600.6 Å³ per cell
Total magnetic moment ... 4.00 μB/cell
Raw total energy ... -5.266 eV per atom
Raw formation energy ... -2928 meV per atom

Cell lengths 7.6140, 7.7290, 10.2063 Å; angles 90.00, 90.00, 90.00 degrees
Space group Imma (No. 74)
Unique sites:
Rb 0.0000 0.2500 0.1657 [4 per cell]
Pm 0.2500 0.2500 0.7500 [4 per cell]
Cu 0.0000 0.0000 0.5000 [4 per cell]
F 0.0000 0.2500 0.6135 [4 per cell]
F 0.0000 0.2500 0.8793 [4 per cell]
F 0.1872 0.0169 0.3679 [16 per cell]

---

(5)
Material: PmTlCuF6
Method: DFT, PBE
State: relaxed

Crystal system ... orthorhombic
Volume ... 599.1 Å³ per cell
Total magnetic moment ... 4.00 μB/cell
Raw total energy ... -5.182 eV per atom
Raw formation energy ... -2688 meV per atom

Cell lengths 7.6214, 7.6924, 10.2188 Å; angles 90.00, 90.00, 90.00 degrees
Space group Imma (No. 74)
Unique sites:
Pm 0.2500 0.2500 0.2500 [4 per cell]
Tl 0.0000 0.2500 0.6681 [4 per cell]
Cu 0.0000 0.0000 0.0000 [4 per cell]
F 0.0000 0.2500 0.1140 [4 per cell]
F 0.0000 0.2500 0.3785 [4 per cell]
F 0.1869 0.0183 0.8680 [16 per cell]

---

(6)
Material: PmTl2CuF6
Method: DFT, PBE
State: relaxed

Crystal system ... trigonal
Volume ... 216.7 Å³ per cell
Total magnetic moment ... 0.11 μB/cell
Raw total energy ... -4.908 eV per atom
Raw formation energy ... -2428 meV per atom

Cell lengths 6.4476, 6.4476, 6.0191 Å; angles 90.00, 90.00, 120.00 degrees
Space group P-3m1 (No. 164)
Unique sites:
Pm 0.0000 0.0000 0.0000 [1 per cell]
Tl 0.3333 0.6667 0.5219 [2 per cell]
Cu 0.0000 0.0000 0.5000 [1 per cell]
F 0.1532 0.3063 0.2517 [6 per cell]

---

(7)
Material: PrCuF5
Method: DFT, PBE
State: relaxed

Crystal system ... monoclinic
Volume ... 457.1 Å³ per cell
Total magnetic moment ... 4.01 μB/cell
Raw total energy ... -5.540 eV per atom
Raw formation energy ... -2936 meV per atom

Cell lengths 9.1225, 7.1548, 7.6730 Å; angles 90.00, 114.13, 90.00 degrees
Space group C2/c (No. 15)
Unique sites:
Pr 0.0000 0.0612 0.2500 [4 per cell]
Cu 0.0000 0.5000 0.0000 [4 per cell]
F 0.0000 0.4004 0.2500 [4 per cell]
F 0.0133 0.1815 0.9651 [8 per cell]
F 0.2251 0.4702 0.6174 [8 per cell]

---

(8)
Material: Pr4Cu2F
Method: DFT, PBE
State: relaxed

Crystal system ... tetragonal
Volume ... 358.4 Å³ per cell
Total magnetic moment ... 0.00 μB/cell
Raw total energy ... -4.878 eV per atom
Raw formation energy ... -709 meV per atom

Cell lengths 5.0011, 5.0011, 14.3307 Å; angles 90.00, 90.00, 90.00 degrees
Space group I4/mmm (No. 139)
Unique sites:
Pr 0.0000 0.0000 0.1976 [4 per cell]
Pr 0.0000 0.5000 0.0000 [4 per cell]
Cu 0.0000 0.0000 0.3889 [4 per cell]
F 0.0000 0.0000 0.0000 [2 per cell]

---

(9)
Material: PrCu2F6
Method: DFT, PBE
State: relaxed

Crystal system ... monoclinic
Volume ... 272.4 Å³ per cell
Total magnetic moment ... 2.00 μB/cell
Raw total energy ... -5.209 eV per atom
Raw formation energy ... -2520 meV per atom

Cell lengths 11.1890, 4.0821, 7.4867 Å; angles 90.00, 127.20, 90.00 degrees
Space group C2/m (No. 12)
Unique sites:
Pr 0.0000 0.0000 0.0000 [2 per cell]
Cu 0.1785 0.0000 0.6277 [4 per cell]
F 0.9997 0.0000 0.3120 [4 per cell]
F 0.1352 0.5000 0.0549 [4 per cell]
F 0.2338 0.5000 0.6609 [4 per cell]

---

(10)
Material: Rb2PrCu3F12
Method: DFT, PBE
State: relaxed

Crystal system ... trigonal
Volume ... 828.9 Å³ per cell
Total magnetic moment ... 12.06 μB/cell
Raw total energy ... -4.678 eV per atom
Raw formation energy ... -2375 meV per atom

Cell lengths 7.6716, 7.6716, 16.2633 Å; angles 90.00, 90.00, 120.00 degrees
Space group R-3m (No. 166, hexagonal axes)
Unique sites:
Rb 0.0000 0.0000 0.1092 [6 per cell]
Pr 0.0000 0.0000 0.5000 [3 per cell]
Cu 0.0000 0.5000 0.0000 [9 per cell]
F 0.0157 0.5079 0.8818 [18 per cell]
F 0.0900 0.5450 0.3121 [18 per cell]

---

(11)
Material: RbPrCuF6
Method: DFT, PBE
State: relaxed

Crystal system ... orthorhombic
Volume ... 616.0 Å³ per cell
Total magnetic moment ... 4.00 μB/cell
Raw total energy ... -5.256 eV per atom
Raw formation energy ... -2915 meV per atom

Cell lengths 7.7451, 7.7963, 10.2016 Å; angles 90.00, 90.00, 90.00 degrees
Space group Imma (No. 74)
Unique sites:
Rb 0.0000 0.2500 0.1691 [4 per cell]
Pr 0.2500 0.2500 0.7500 [4 per cell]
Cu 0.0000 0.0000 0.5000 [4 per cell]
F 0.0000 0.2500 0.6111 [4 per cell]
F 0.0000 0.2500 0.8823 [4 per cell]
F 0.1835 0.0195 0.3677 [16 per cell]

---

(12)
Material: CuPtF5
Method: DFT, PBE
State: relaxed

Crystal system ... monoclinic
Volume ... 399.2 Å³ per cell
Total magnetic moment ... 7.97 μB/cell
Raw total energy ... -4.015 eV per atom
Raw formation energy ... -1230 meV per atom

Cell lengths 7.9523, 7.6743, 6.5407 Å; angles 90.00, 90.33, 90.00 degrees
Space group C2/c (No. 15)
Unique sites:
Cu 0.0000 0.0000 0.0000 [4 per cell]
Pt 0.0000 0.3977 0.2500 [4 per cell]
F 0.0000 0.1133 0.7500 [4 per cell]
F 0.1204 0.2041 0.3911 [8 per cell]
F 0.1294 0.4259 0.9110 [8 per cell]